No. 1
Computed, not measured: crystalline Ca2CdAg4 at its relaxed geometry at the PBE level of DFT.

Properties
space group	No. 69
N(E_F)	4.61	states/eV per cell
total moment	0.00	μB/f.u.
final energy	-15.98	eV for the cell shown
formation enthalpy at 0 K	0.3	eV/f.u.
crystal system	orthorhombic

Geometry as POSCAR:
```
Ca2CdAg4
1.0
5.181 -1.120 -1.103
-1.515 5.080 -1.100
0.164 0.180 8.304
Cd Ag Ca
1 4 2
direct
0.000 0.000 0.000 Cd
0.000 0.500 0.000 Ag
0.812 0.811 0.623 Ag
0.188 0.189 0.377 Ag
0.500 0.000 0.000 Ag
0.381 0.381 0.763 Ca
0.619 0.619 0.237 Ca
```

***

No. 2
Computed, not measured: crystalline Ca2CdAg at its relaxed geometry at the PBE level of DFT.

Properties
space group	No. 44
N(E_F)	3.11	states/eV per cell
total moment	0.00	μB/f.u.
final energy	-8.75	eV for the cell shown
formation enthalpy at 0 K	-1.0	eV/f.u.
crystal system	orthorhombic

Geometry as POSCAR:
```
Ca2CdAg
1.0
-1.752 3.015 -5.369
3.290 -1.076 -5.386
-3.472 -2.631 4.692
Cd Ag Ca
1 1 2
direct
0.530 0.530 0.000 Cd
0.732 0.232 0.500 Ag
0.973 0.973 0.000 Ca
0.265 0.765 0.500 Ca
```

***

No. 3
Computed, not measured: crystalline CaCd6Ag4 at its relaxed geometry at the PBE level of DFT.

Properties
space group	No. 121
N(E_F)	4.96	states/eV per cell
total moment	0.00	μB/f.u.
final energy	-19.37	eV for the cell shown
formation enthalpy at 0 K	-0.5	eV/f.u.
crystal system	tetragonal

Geometry as POSCAR:
```
CaCd6Ag4
1.0
7.273 -0.190 -0.279
-3.531 6.361 0.279
-3.531 -2.079 6.018
Cd Ag Ca
6 4 1
direct
0.500 0.500 0.000 Cd
0.370 0.477 0.477 Cd
0.630 0.108 0.108 Cd
0.000 0.523 0.892 Cd
0.000 0.892 0.523 Cd
0.500 0.000 0.500 Cd
0.000 0.258 0.596 Ag
0.662 0.404 0.404 Ag
0.000 0.596 0.258 Ag
0.338 0.742 0.742 Ag
0.000 0.000 0.000 Ca
```

***

No. 4
Computed, not measured: crystalline CaCdAg2 at its relaxed geometry at the PBE level of DFT.

Properties
space group	No. 216
N(E_F)	1.99	states/eV per cell
total moment	0.00	μB/f.u.
final energy	-9.38	eV for the cell shown
formation enthalpy at 0 K	-0.8	eV/f.u.
crystal system	cubic

Geometry as POSCAR:
```
CaCdAg2
1.0
4.999 0.000 0.000
2.500 4.329 0.000
2.500 1.443 4.082
Ag Cd Ca
2 1 1
direct
0.250 0.250 0.250 Ag
0.000 0.000 0.000 Ag
0.750 0.750 0.750 Cd
0.500 0.500 0.500 Ca
```

***

No. 5
Computed, not measured: crystalline Ca2Cd3Ag at its relaxed geometry at the PBE level of DFT.

Properties
space group	No. 69
N(E_F)	8.11	states/eV per cell
total moment	0.00	μB/f.u.
final energy	-22.92	eV for the cell shown
formation enthalpy at 0 K	-1.9	eV/f.u.
crystal system	orthorhombic

Geometry as POSCAR:
```
Ca2Cd3Ag
1.0
-0.630 4.260 -4.367
-4.906 -3.679 -0.111
-1.250 4.897 7.880
Cd Ag Ca
6 2 4
direct
0.664 0.168 0.831 Cd
0.168 0.664 0.831 Cd
0.336 0.832 0.169 Cd
0.832 0.336 0.169 Cd
0.168 0.168 0.336 Cd
0.832 0.832 0.664 Cd
0.667 0.667 0.334 Ag
0.333 0.333 0.666 Ag
0.250 0.750 0.500 Ca
0.747 0.747 0.000 Ca
0.253 0.253 0.000 Ca
0.750 0.250 0.500 Ca
```

***

No. 6
Computed, not measured: crystalline CaCd2Ag3 at its relaxed geometry at the PBE level of DFT.

Properties
space group	No. 194
N(E_F)	2.93	states/eV per cell
total moment	0.00	μB/f.u.
final energy	-27.08	eV for the cell shown
formation enthalpy at 0 K	-1.2	eV/f.u.
crystal system	hexagonal

Geometry as POSCAR:
```
CaCd2Ag3
1.0
-2.263 -0.145 4.259
-2.407 -1.050 -4.048
3.264 -12.527 1.308
Cd Ag Ca
4 6 2
direct
0.667 0.333 0.412 Cd
0.333 0.667 0.912 Cd
0.667 0.333 0.088 Cd
0.333 0.667 0.588 Cd
0.000 0.000 0.000 Ag
0.333 0.667 0.363 Ag
0.667 0.333 0.637 Ag
0.000 0.000 0.500 Ag
0.667 0.333 0.863 Ag
0.333 0.667 0.137 Ag
0.000 0.000 0.250 Ca
0.000 0.000 0.750 Ca
```